# 1
Material: PmNd2Sm7
Method: DFT, PBE
State: optimized geometry

```
10
Lattice="4.3738 -8.5102 0.0000 4.3738 8.5102 0.0000 0.0000 0.0000 5.4626" Properties=species:S:1:pos:R:3 pbc="T T T"
Pm 0.0000 0.0000 0.0000
Nd 4.3738 3.4661 2.7313
Nd 4.3738 -3.4661 2.7313
Sm 1.5724 1.8810 2.7313
Sm 4.3738 4.9212 0.0000
Sm 1.5724 -1.8810 2.7313
Sm 4.3738 0.0000 2.7313
Sm 7.1751 1.8810 2.7313
Sm 4.3738 -4.9212 0.0000
Sm 7.1751 -1.8810 2.7313
```

- DFT total energy (eV/cell) = -40.90

=====

# 2
Material: PmNd2Sm5
Method: DFT, PBE
State: optimized geometry

```
16
Lattice="8.3276 -5.0682 0.0000 8.3276 5.0682 0.0000 -1.0142 0.0000 6.5304" Properties=species:S:1:pos:R:3 pbc="T T T"
Pm 4.1638 2.5341 0.0000
Pm 3.6567 -2.5341 3.2652
Nd 6.1205 2.5768 5.7310
Nd 9.0134 2.5768 4.0646
Nd 6.6276 -2.5768 2.4658
Nd 9.5204 -2.5768 0.7994
Sm 0.9703 0.9014 4.2249
Sm 1.4774 -0.9014 0.9597
Sm 4.5063 0.8932 3.1103
Sm 3.9993 -0.8932 6.3755
Sm 8.0740 0.6037 1.6326
Sm 7.5669 -0.6037 4.8978
Sm 11.6417 0.8932 0.1549
Sm 11.1346 -0.8932 3.4201
Sm 14.1636 0.9014 5.5707
Sm 14.6707 -0.9014 2.3055
```

- DFT total energy (eV/cell) = -73.30

=====

# 3
Material: PmNd8Sm2
Method: DFT, PBE
State: optimized geometry

```
11
Lattice="9.3434 -2.5941 0.0000 9.3434 2.5941 0.0000 -2.1599 0.0000 7.9209" Properties=species:S:1:pos:R:3 pbc="T T T"
Pm 0.0000 0.0000 0.0000
Nd 0.7245 0.0000 3.6006
Nd 1.4349 0.0000 7.2045
Nd 5.0244 0.0000 6.4712
Nd 7.8997 0.0000 2.1582
Nd 8.6273 0.0000 5.7627
Nd 11.5026 0.0000 1.4497
Nd 15.0921 0.0000 0.7164
Nd 15.8025 0.0000 4.3203
Sm 4.3107 0.0000 2.8857
Sm 12.2163 0.0000 5.0352
```

- DFT total energy (eV/cell) = -52.19

=====

# 4
Material: Pm12Nd3Sm
Method: DFT, PBE
State: optimized geometry

```
16
Lattice="5.1673 0.0000 0.0000 0.0000 5.1673 0.0000 0.0000 0.0000 20.6513" Properties=species:S:1:pos:R:3 pbc="T T T"
Pm 0.0000 0.0000 0.0000
Pm 0.0000 0.0000 5.1511
Pm 0.0000 0.0000 10.3256
Pm 0.0000 0.0000 15.5002
Pm 0.0000 2.5836 2.5682
Pm 0.0000 2.5836 7.7395
Pm 0.0000 2.5836 12.9118
Pm 0.0000 2.5836 18.0831
Pm 2.5836 0.0000 2.5682
Pm 2.5836 0.0000 7.7395
Pm 2.5836 0.0000 12.9118
Pm 2.5836 0.0000 18.0831
Nd 2.5836 2.5836 5.1535
Nd 2.5836 2.5836 10.3256
Nd 2.5836 2.5836 15.4978
Sm 2.5836 2.5836 0.0000
```

- DFT total energy (eV/cell) = -75.83

=====

# 5
Material: Pm3NdSm6
Method: DFT, PBE
State: optimized geometry

```
20
Lattice="5.5144 -9.6437 0.0000 5.5144 9.6437 0.0000 0.0000 0.0000 6.4469" Properties=species:S:1:pos:R:3 pbc="T T T"
Pm 5.5144 7.4187 3.2235
Pm 3.5747 2.2486 0.7884
Pm 3.5747 -2.2486 4.0119
Pm 7.4541 2.2486 0.7884
Pm 7.4541 -2.2486 4.0119
Pm 5.5144 -7.4187 0.0000
Nd 5.5144 3.6817 3.0411
Nd 5.5144 -3.6817 6.2646
Sm 2.6027 4.0169 4.5787
Sm 1.8656 0.8034 3.4165
Sm 1.8656 -0.8034 0.1930
Sm 5.5144 5.3615 6.0329
Sm 2.6027 -4.0169 1.3552
Sm 5.5144 0.6818 4.6701
Sm 5.5144 -0.6818 1.4467
Sm 8.4260 4.0169 4.5787
Sm 5.5144 -5.3615 2.8095
Sm 9.1632 0.8034 3.4165
Sm 9.1632 -0.8034 0.1930
Sm 8.4260 -4.0169 1.3552
```

- DFT total energy (eV/cell) = -91.87

=====

# 6
Material: Pm5NdSm5
Method: DFT, PBE
State: optimized geometry

```
11
Lattice="6.2165 0.0000 0.0000 -3.1082 5.3836 0.0000 0.0000 0.0000 11.6673" Properties=species:S:1:pos:R:3 pbc="T T T"
Pm 0.0000 0.0000 0.0000
Pm 0.0000 3.5891 3.7872
Pm 0.0000 3.5891 7.8800
Pm 3.1083 1.7945 1.8570
Pm 3.1083 1.7945 9.8103
Nd 0.0000 3.5891 0.0000
Sm 0.0000 0.0000 3.0968
Sm 0.0000 0.0000 8.5705
Sm 1.5757 0.9097 5.8336
Sm 4.6408 0.9097 5.8336
Sm 3.1083 3.5642 5.8336
```

- DFT total energy (eV/cell) = -48.93

=====

# 7
Material: PmNd4Sm6
Method: DFT, PBE
State: optimized geometry

```
11
Lattice="-3.3723 3.3723 8.6025 3.3723 -3.3723 8.6025 3.3723 3.3723 -8.6025" Properties=species:S:1:pos:R:3 pbc="T T T"
Pm 0.0000 0.0000 0.0000
Nd 1.2819 1.2819 -3.0427
Nd 2.0904 -2.0904 11.6452
Nd 2.0904 2.0904 5.5598
Nd -2.0904 2.0904 11.6452
Sm 3.3723 0.0000 0.0000
Sm 1.1934 -1.1934 6.4500
Sm 2.1789 2.1789 2.1525
Sm 0.0000 3.3723 0.0000
Sm -1.1934 1.1934 6.4500
Sm 1.1934 1.1934 10.7550
```

- DFT total energy (eV/cell) = -48.96

=====

# 8
Material: PmNd6Sm2
Method: DFT, PBE
State: optimized geometry

```
9
Lattice="5.0092 -8.7291 0.0000 5.0092 8.7291 0.0000 0.0000 0.0000 3.5776" Properties=species:S:1:pos:R:3 pbc="T T T"
Pm 0.0000 0.0000 0.0000
Nd 1.6808 2.9131 1.7888
Nd 3.3332 0.0000 1.7888
Nd 1.6808 -2.9131 1.7888
Nd 8.3376 2.9131 1.7888
Nd 6.6851 0.0000 1.7888
Nd 8.3376 -2.9131 1.7888
Sm 5.0092 2.9097 0.0000
Sm 5.0092 -2.9097 0.0000
```

- DFT total energy (eV/cell) = -42.79

=====

# 9
Material: PmNd2Sm6
Method: DFT, PBE
State: optimized geometry

```
9
Lattice="8.6658 -4.9844 0.0000 8.6658 4.9844 0.0000 -0.0063 0.0000 3.5412" Properties=species:S:1:pos:R:3 pbc="T T T"
Pm 0.0000 0.0000 0.0000
Nd 5.7766 0.0000 0.0002
Nd 11.5487 0.0000 3.5410
Sm 11.5474 -3.3216 1.7711
Sm 5.7779 3.3216 1.7701
Sm 11.5474 3.3216 1.7711
Sm 8.6626 1.6679 1.7706
Sm 5.7779 -3.3216 1.7701
Sm 8.6626 -1.6679 1.7706
```

- DFT total energy (eV/cell) = -42.10

=====

# 10
Material: Pm12Nd5Sm2
Method: DFT, PBE
State: optimized geometry

```
19
Lattice="9.3635 -3.6017 0.0000 9.3635 3.6017 0.0000 -3.8266 0.0000 9.8621" Properties=species:S:1:pos:R:3 pbc="T T T"
Pm -0.6637 0.0000 1.7193
Pm 15.5640 0.0000 8.1429
Pm 2.5123 1.8180 9.6347
Pm 3.9642 1.7807 6.2357
Pm 10.9361 1.7807 3.6265
Pm 12.3880 1.8180 0.2274
Pm 7.8869 0.0000 2.5124
Pm 7.0134 0.0000 7.3497
Pm 2.5123 -1.8180 9.6347
Pm 3.9642 -1.7807 6.2357
Pm 10.9361 -1.7807 3.6265
Pm 12.3880 -1.8180 0.2274
Nd 0.5693 0.0000 7.0057
Nd 4.6500 0.0000 3.1125
Nd 9.3635 0.0000 0.0000
Nd 10.2503 0.0000 6.7497
Nd 14.3310 0.0000 2.8564
Sm 7.4501 2.0044 4.9311
Sm 7.4501 -2.0044 4.9311
```

- DFT total energy (eV/cell) = -87.19

=====

# 11
Material: Pm2Nd3Sm8
Method: DFT, PBE
State: optimized geometry

```
13
Lattice="6.6396 -5.9224 0.0000 6.6396 5.9224 0.0000 -2.4924 0.0000 5.7155" Properties=species:S:1:pos:R:3 pbc="T T T"
Pm 1.9199 0.0000 2.0062
Pm 8.8670 0.0000 3.7093
Nd 6.6396 2.8545 0.0000
Nd 5.3934 0.0000 2.8577
Nd 6.6396 -2.8545 0.0000
Sm -1.2037 0.0000 4.4560
Sm 3.5324 3.0350 1.8499
Sm 2.1931 0.0000 5.4273
Sm 7.2544 3.0350 3.8656
Sm 3.5324 -3.0350 1.8499
Sm 8.5937 0.0000 0.2881
Sm 7.2544 -3.0350 3.8656
Sm 11.9906 0.0000 1.2595
```

- DFT total energy (eV/cell) = -59.55

=====

# 12
Material: Pm7NdSm12
Method: DFT, PBE
State: optimized geometry

```
20
Lattice="6.5113 3.7593 4.7198 -6.5113 3.7593 4.7198 0.0000 -7.5186 4.7198" Properties=species:S:1:pos:R:3 pbc="T T T"
Pm 0.0000 0.0000 0.0000
Pm -1.7489 -1.5484 5.0033
Pm -0.4666 2.2888 5.0033
Pm 2.2154 -0.7403 5.0033
Pm -2.2154 0.7403 9.1560
Pm 0.4666 -2.2888 9.1560
Pm 1.7489 1.5484 9.1560
Nd 0.0000 0.0000 7.0796
Sm -0.4198 -2.2318 2.2524
Sm -1.7229 1.4794 2.2524
Sm -3.7414 1.1371 5.8264
Sm -2.8554 -2.6716 8.3329
Sm 0.8860 -3.8087 5.8264
Sm 2.1427 0.7524 2.2524
Sm -2.1427 -0.7524 11.9069
Sm -0.8860 3.8087 8.3329
Sm 2.8555 2.6716 5.8264
Sm 3.7414 -1.1371 8.3329
Sm 1.7229 -1.4794 11.9069
Sm 0.4197 2.2318 11.9069
```

- DFT total energy (eV/cell) = -89.43